Compound: Sm3DyPt8
Source: Alexandria
Functional: GGA-PBE
Structure: optimized geometry

Cell lengths 9.4854, 9.4854, 9.4854 Å; angles 33.54, 33.54, 33.54 degrees
Fractional coordinates of all 12 atoms:
Sm 0.0000 0.0000 0.0000
Sm 0.1255 0.1255 0.1255
Sm 0.6244 0.6244 0.6244
Dy 0.4997 0.4997 0.4997
Pt 0.0621 0.0621 0.5617
Pt 0.0621 0.5617 0.0621
Pt 0.0637 0.5625 0.5625
Pt 0.3125 0.3125 0.3125
Pt 0.5617 0.0621 0.0621
Pt 0.5625 0.0637 0.5625
Pt 0.5625 0.5625 0.0637
Pt 0.8125 0.8125 0.8125

Properties
For the formation enthalpy at 0 K, the calculation gives -1269 kJ/mol of formula units. The calculated total energy comes out at -6.69 eV/atom.

Compound: Al2InBr
Source: Alexandria
Functional: GGA-PBE
Structure: optimized geometry

Cell lengths 6.1046, 6.1046, 3.2806 Å; angles 102.71, 102.71, 120.24 degrees
Fractional coordinates of all 4 atoms:
Al 0.0000 0.5000 0.0000
Al 0.5000 0.0000 0.0000
In 0.0000 0.0000 0.5000
Br 0.5000 0.5000 0.5000

Properties
The energy above the lowest structure with this stoichiometry is 125 meV per atom. The uncorrected formation energy comes out at 14.31 kJ/mol of atoms. The calculated total energy comes out at -2.83 eV/atom.

Compound: NaSc3Cd
Source: Alexandria
Functional: GGA-PBE
Structure: optimized geometry

Cell lengths 5.1752, 5.1752, 5.1752 Å; angles 90.00, 90.00, 90.00 degrees
Fractional coordinates of all 5 atoms:
Na 0.0000 0.0000 0.0000
Sc 0.0000 0.0000 0.5000
Sc 0.0000 0.5000 0.0000
Sc 0.5000 0.0000 0.0000
Cd 0.5000 0.5000 0.5000

Properties
The energy above the lowest structure with this stoichiometry is 398 meV per atom. For the formation enthalpy at 0 K, the calculation gives 455 kJ/mol of formula units. The calculated total energy comes out at -3.30 eV/atom.

Compound: Sm2HgSe
Source: Alexandria
Functional: GGA-PBE
Structure: optimized geometry

Cell lengths 7.9937, 7.9937, 7.9937 Å; angles 29.79, 29.79, 29.79 degrees
Fractional coordinates of all 4 atoms:
Sm 0.2426 0.2426 0.2426
Sm 0.7574 0.7574 0.7574
Hg 0.0000 0.0000 0.0000
Se 0.5000 0.5000 0.5000

Properties
The energy above the lowest structure with this stoichiometry is 0 meV per atom. The uncorrected formation energy comes out at -108.35 kJ/mol of atoms. The calculated total energy comes out at -4.43 eV/atom.